Ce2YTh2Hg5: relaxed, PBE.

```
20
Lattice="4.6987 0.0000 0.0000 0.0000 10.8798 0.0000 0.0000 0.0000 10.8798" Properties=species:S:1:pos:R:3 pbc="T T T"
Ce 0.0000 1.4376 6.8775
Ce 0.0000 9.4422 4.0023
Ce 0.0000 6.8775 9.4422
Ce 0.0000 4.0023 1.4376
Y 0.0000 0.0000 0.0000
Y 0.0000 5.4399 5.4399
Th 0.0000 7.3404 1.9005
Th 0.0000 3.5394 8.9793
Th 0.0000 1.9005 3.5394
Th 0.0000 8.9793 7.3404
Hg 2.3493 1.8902 1.1223
Hg 2.3493 8.9896 9.7575
Hg 2.3493 1.1223 8.9896
Hg 2.3493 7.3301 4.3176
Hg 2.3493 9.7575 1.8902
Hg 2.3493 3.5497 6.5623
Hg 2.3493 6.5623 7.3301
Hg 2.3493 4.3176 3.5497
Hg 2.3493 5.4399 0.0000
Hg 2.3493 0.0000 5.4399
```

As for the density of states at the Fermi level: 29.60 states/eV per cell. The energy relative to the elements comes out at -13 kJ/mol of atoms. As for the total energy: -72.061 eV/cell. The calculation puts the mass density at 10.96 g cm⁻³.

=====

Ce2ThZn2Hg2: relaxed, PBE.

```
7
Lattice="-2.6419 -0.3789 3.7136 1.2280 -2.7960 3.4041 4.1426 5.8187 6.3567" Properties=species:S:1:pos:R:3 pbc="T T T"
Ce 2.1658 2.8723 4.6498
Ce 0.5629 -0.2286 8.8246
Th 0.0000 0.0000 0.0000
Zn 0.1497 -0.4885 5.6884
Zn 2.5790 3.1323 7.7860
Hg 2.2481 2.2833 10.2799
Hg 0.4806 0.3605 3.1945
```

As for the density of states at the Fermi level: 10.11 states/eV per cell. The energy relative to the elements comes out at -19 kJ/mol of atoms. As for the total energy: -23.810 eV/cell. The calculation puts the mass density at 10.42 g cm⁻³.

=====

CeTiHg2: relaxed, PBE.

```
4
Lattice="5.1330 0.0000 0.0000 2.5665 4.4453 0.0000 2.5665 1.4818 4.1911" Properties=species:S:1:pos:R:3 pbc="T T T"
Hg 2.5665 1.4818 1.0478
Hg 7.6995 4.4453 3.1433
Ce 0.0000 0.0000 0.0000
Ti 5.1330 2.9635 2.0955
```

As for the density of states at the Fermi level: 8.61 states/eV per cell. The energy relative to the elements comes out at -9 kJ/mol of atoms. The polymorph energy (0 for the lowest one) comes out at 0.033 eV per atom. As for the total energy: -14.818 eV/cell. The calculation puts the mass density at 10.23 g cm⁻³.

=====

CeTi2Hg: relaxed, PBE.

```
4
Lattice="-2.0042 -2.8155 -1.9640 0.8926 -2.9533 3.3228 -3.8127 1.2343 2.1212" Properties=species:S:1:pos:R:3 pbc="T T T"
Hg -2.4621 -2.2673 1.7400
Ce -1.0021 -1.4078 -0.9820
Ti -1.9063 0.6171 1.0606
Ti 0.4463 -1.4766 1.6614
```

As for the density of states at the Fermi level: 5.51 states/eV per cell. The energy relative to the elements comes out at 8 kJ/mol of atoms. The polymorph energy (0 for the lowest one) comes out at 0.000 eV per atom. As for the total energy: -21.698 eV/cell. The calculation puts the mass density at 8.87 g cm⁻³.

=====

CeTiHg2: relaxed, PBE.

```
4
Lattice="-1.4248 -1.5017 2.4075 0.7924 -2.7973 -1.2759 7.4919 0.0778 4.4823" Properties=species:S:1:pos:R:3 pbc="T T T"
Hg 5.8357 0.0606 3.4915
Hg 1.6561 0.0172 0.9909
Ce 3.4298 -2.1106 2.8069
Ti -0.3162 -2.1495 0.5658
```

As for the density of states at the Fermi level: 6.38 states/eV per cell. The energy relative to the elements comes out at -13 kJ/mol of atoms. The polymorph energy (0 for the lowest one) comes out at 0.000 eV per atom. As for the total energy: -14.952 eV/cell. The calculation puts the mass density at 11.12 g cm⁻³.

=====

CeTiHg: relaxed, PBE.

```
3
Lattice="-2.9346 -0.8614 1.1486 2.1487 -3.5617 2.8187 -0.6335 4.6277 1.8520" Properties=species:S:1:pos:R:3 pbc="T T T"
Hg -0.4892 -0.1436 0.1915
Ce -0.7346 -1.4060 3.2620
Ti -0.1956 1.7543 2.3658
```

As for the density of states at the Fermi level: 5.90 states/eV per cell. The energy relative to the elements comes out at 7 kJ/mol of atoms. As for the total energy: -13.928 eV/cell. The calculation puts the mass density at 9.03 g cm⁻³.

=====

CeTiHg2: relaxed, PBE.

```
4
Lattice="-0.5178 -1.7527 -2.8586 -4.3975 -2.0831 2.0738 -2.8264 4.0215 -1.9538" Properties=species:S:1:pos:R:3 pbc="T T T"
Hg -1.4132 2.0108 -0.9769
Hg -2.1988 -1.0415 1.0369
Ce -0.2589 -0.8764 -1.4293
Ti -3.8709 0.0929 -1.3693
```

As for the density of states at the Fermi level: 7.26 states/eV per cell. The energy relative to the elements comes out at -2 kJ/mol of atoms. The polymorph energy (0 for the lowest one) comes out at 0.112 eV per atom. As for the total energy: -14.505 eV/cell. The calculation puts the mass density at 10.31 g cm⁻³.

=====

CeTi2Hg: relaxed, PBE.

```
4
Lattice="-2.6446 0.1988 2.1545 1.8945 -1.4308 2.4575 2.0763 6.1518 1.9810" Properties=species:S:1:pos:R:3 pbc="T T T"
Hg -0.3751 -0.6160 2.3060
Ce 0.6631 2.4599 3.2965
Ti 1.5552 4.6079 1.4838
Ti 0.5211 1.5439 0.4972
```

As for the density of states at the Fermi level: 5.57 states/eV per cell. The energy relative to the elements comes out at 10 kJ/mol of atoms. The polymorph energy (0 for the lowest one) comes out at 0.022 eV per atom. As for the total energy: -21.610 eV/cell. The calculation puts the mass density at 9.14 g cm⁻³.

=====

CeTiTlHg: relaxed, PBE.

```
4
Lattice="-0.8835 -4.3374 -2.7007 -2.5510 -3.9457 2.1935 -4.8123 -1.1560 -1.5471" Properties=species:S:1:pos:R:3 pbc="T T T"
Tl -4.1234 -4.7195 -1.0271
Hg 0.0000 0.0000 0.0000
Ce -6.1851 -7.0793 -1.5407
Ti -2.0617 -2.3598 -0.5136
```

As for the density of states at the Fermi level: 7.70 states/eV per cell. The energy relative to the elements comes out at -6 kJ/mol of atoms. As for the total energy: -16.749 eV/cell. The calculation puts the mass density at 9.99 g cm⁻³.

=====

CeTiZnHg: relaxed, PBE.

```
4
Lattice="5.0114 0.0000 0.0000 2.5057 4.3400 0.0000 2.5057 1.4467 4.0918" Properties=species:S:1:pos:R:3 pbc="T T T"
Zn 0.0000 0.0000 0.0000
Hg 5.0114 2.8934 2.0459
Ce 7.5172 4.3400 3.0689
Ti 2.5057 1.4467 1.0230
```

As for the density of states at the Fermi level: 7.16 states/eV per cell. The energy relative to the elements comes out at -6 kJ/mol of atoms. As for the total energy: -15.642 eV/cell. The calculation puts the mass density at 8.47 g cm⁻³.

=====

Ce2Tl4Hg: relaxed, PBE.

```
7
Lattice="-3.3433 -1.4512 4.6497 -4.6435 -0.7535 -3.5741 5.6045 -5.1345 -1.3259" Properties=species:S:1:pos:R:3 pbc="T T T"
Tl -0.8638 -3.8437 1.9326
Tl -1.5184 -3.4956 -2.1828
Tl -1.6717 -0.7256 2.3249
Tl -2.3217 -0.3767 -1.7871
Hg 0.0000 0.0000 0.0000
Ce -3.5438 -2.8397 0.3189
Ce 1.1615 -4.4995 -0.5691
```

As for the density of states at the Fermi level: 16.49 states/eV per cell. The energy relative to the elements comes out at 6 kJ/mol of atoms. As for the total energy: -21.208 eV/cell. The calculation puts the mass density at 9.52 g cm⁻³.

=====

CeTl2Hg: relaxed, PBE.

```
4
Lattice="5.3809 0.0000 0.0000 2.6904 4.6600 0.0000 2.6904 1.5533 4.3935" Properties=species:S:1:pos:R:3 pbc="T T T"
Tl 2.6904 1.5533 1.0984
Tl 8.0713 4.6600 3.2951
Hg 0.0000 0.0000 0.0000
Ce 5.3809 3.1066 2.1967
```

As for the density of states at the Fermi level: 8.02 states/eV per cell. The energy relative to the elements comes out at -13 kJ/mol of atoms. The polymorph energy (0 for the lowest one) comes out at 0.106 eV per atom. As for the total energy: -11.493 eV/cell. The calculation puts the mass density at 11.30 g cm⁻³.